VASP calculation (PBE) on Pr8PRu3I4 after structural relaxation.

Cell lengths 8.480, 8.480, 9.470 Å; angles 116.56, 116.56, 60.01 degrees
Sites, in units of the cell vectors:
Pr 0.217 0.733 0.682
Pr 0.232 0.232 0.695
Pr 0.267 0.267 0.318
Pr 0.267 0.783 0.318
Pr 0.733 0.217 0.682
Pr 0.733 0.733 0.682
Pr 0.768 0.768 0.305
Pr 0.783 0.267 0.318
P 0.500 0.500 0.500
Ru 0.000 0.000 0.500
Ru 0.000 0.500 0.500
Ru 0.500 0.000 0.500
I 0.000 0.000 0.000
I 0.000 0.500 0.000
I 0.500 0.000 0.000
I 0.500 0.500 0.000

The calculation puts the density of states at the Fermi level at 10.099 states/eV/cell. Its crystal system is monoclinic. As for the total energy: -90.4 eV for the cell shown. The value obtained for the uncorrected formation energy is -12.73 eV/f.u.


VASP calculation (PBE) on TlZnTc after structural relaxation.

Cell lengths 4.563, 4.563, 2.904 Å; angles 90.00, 90.00, 120.00 degrees
Sites, in units of the cell vectors:
Tl 0.000 0.000 0.000
Zn 0.667 0.333 0.253
Tc 0.333 0.667 0.546

The calculation puts the density of states at the Fermi level at 2.235 states/eV/cell. Its crystal system is trigonal. The value obtained for the energy relative to the lowest polymorph listed for this composition is 24 kJ/mol of formula units. As for the total energy: -12.2 eV for the cell shown.


VASP calculation (PBE) on Tm3Pu4Te8 after structural relaxation.

Cell lengths 8.709, 8.709, 8.711 Å; angles 119.87, 119.87, 90.12 degrees
Sites, in units of the cell vectors:
Tm 0.000 0.000 0.000
Tm 0.000 0.500 0.500
Tm 0.500 0.000 0.500
Pu 0.000 0.000 0.500
Pu 0.000 0.500 0.000
Pu 0.500 0.000 0.000
Pu 0.500 0.500 0.000
Te 0.247 0.753 0.000
Te 0.252 0.252 0.010
Te 0.254 0.254 0.492
Te 0.256 0.744 0.500
Te 0.744 0.256 0.500
Te 0.746 0.746 0.508
Te 0.748 0.748 0.990
Te 0.753 0.247 0.000

The calculation puts the density of states at the Fermi level at 42.526 states/eV/cell. Its crystal system is monoclinic. As for the total energy: -113.5 eV for the cell shown. The value obtained for the uncorrected formation energy is -17.62 eV/f.u.


VASP calculation (PBE) on PtAuF3 after structural relaxation.

Cell lengths 4.368, 4.368, 4.368 Å; angles 90.00, 90.00, 90.00 degrees
Sites, in units of the cell vectors:
Pt 0.000 0.000 0.000
Au 0.500 0.500 0.500
F 0.000 0.500 0.500
F 0.500 0.000 0.500
F 0.500 0.500 0.000

The calculation puts the density of states at the Fermi level at 14.523 states/eV/cell. Its crystal system is cubic. The value obtained for the energy relative to the lowest polymorph listed for this composition is 227 kJ/mol of formula units. As for the total energy: -14.7 eV for the cell shown. The value obtained for the uncorrected formation energy is 0.19 eV/f.u.


VASP calculation (PBE) on Sc2CdFe2 after structural relaxation.

Cell lengths 6.135, 6.135, 6.135 Å; angles 139.47, 139.47, 58.66 degrees
Sites, in units of the cell vectors:
Sc 0.250 0.750 0.500
Sc 0.750 0.250 0.500
Cd 0.000 0.000 0.000
Fe 0.403 0.403 0.000
Fe 0.597 0.597 0.000

The calculation puts the density of states at the Fermi level at 6.559 states/eV/cell. Its crystal system is tetragonal. As for the total energy: -28.6 eV for the cell shown.


VASP calculation (PBE) on In2IrAu2 after structural relaxation.

Cell lengths 6.948, 6.948, 6.948 Å; angles 146.00, 146.00, 48.85 degrees
Sites, in units of the cell vectors:
In 0.250 0.750 0.500
In 0.750 0.250 0.500
Ir 0.000 0.000 0.000
Au 0.398 0.398 0.000
Au 0.602 0.602 0.000

The calculation puts the density of states at the Fermi level at 3.554 states/eV/cell. Its crystal system is tetragonal. The value obtained for the energy relative to the lowest polymorph listed for this composition is 190 kJ/mol of formula units. As for the total energy: -17.8 eV for the cell shown.


VASP calculation (PBE) on KSc2Cu after structural relaxation.

Cell lengths 5.243, 5.243, 5.243 Å; angles 60.00, 60.00, 60.00 degrees
Sites, in units of the cell vectors:
K 0.000 0.000 0.000
Sc 0.500 0.500 0.500
Sc 0.750 0.750 0.750
Cu 0.250 0.250 0.250

The calculation puts the density of states at the Fermi level at 5.377 states/eV/cell. Its crystal system is cubic. The value obtained for the energy relative to the lowest polymorph listed for this composition is 226 kJ/mol of formula units. As for the total energy: -14.8 eV for the cell shown.


VASP calculation (PBE) on ScTa4Ni after structural relaxation.

Cell lengths 5.468, 5.468, 5.468 Å; angles 60.00, 60.00, 60.00 degrees
Sites, in units of the cell vectors:
Sc 0.000 0.000 0.000
Ta 0.121 0.626 0.626
Ta 0.626 0.121 0.626
Ta 0.626 0.626 0.121
Ta 0.626 0.626 0.626
Ni 0.250 0.250 0.250

The calculation puts the density of states at the Fermi level at 6.138 states/eV/cell. Its crystal system is cubic. As for the total energy: -57.1 eV for the cell shown.


VASP calculation (PBE) on NaAc2H6Pd2 after structural relaxation.

Cell lengths 6.560, 6.560, 6.560 Å; angles 50.40, 50.40, 50.40 degrees
Sites, in units of the cell vectors:
Na 0.000 0.000 0.000
Ac 0.233 0.233 0.233
Ac 0.767 0.767 0.767
H 0.209 0.746 0.746
H 0.254 0.254 0.791
H 0.254 0.791 0.254
H 0.746 0.209 0.746
H 0.746 0.746 0.209
H 0.791 0.254 0.254
Pd 0.411 0.411 0.411
Pd 0.589 0.589 0.589

The calculation puts the density of states at the Fermi level at 3.485 states/eV/cell. Its crystal system is trigonal. As for the total energy: -44.6 eV for the cell shown.


VASP calculation (PBE) on Be3TeH after structural relaxation.

Cell lengths 3.869, 3.869, 3.869 Å; angles 90.00, 90.00, 90.00 degrees
Sites, in units of the cell vectors:
Be 0.000 0.000 0.500
Be 0.000 0.500 0.000
Be 0.500 0.000 0.000
Te 0.500 0.500 0.500
H 0.000 0.000 0.000

The calculation puts the density of states at the Fermi level at 1.978 states/eV/cell. Its crystal system is cubic. The value obtained for the energy relative to the lowest polymorph listed for this composition is 0 kJ/mol of formula units. As for the total energy: -13.8 eV for the cell shown.


VASP calculation (PBE) on Li2TaFe after structural relaxation.

Cell lengths 2.620, 2.620, 9.729 Å; angles 90.00, 90.00, 111.32 degrees
Sites, in units of the cell vectors:
Li 0.000 0.000 0.232
Li 0.000 0.000 0.768
Ta 0.500 0.500 0.500
Fe 0.500 0.500 0.000

The calculation puts the density of states at the Fermi level at 3.373 states/eV/cell. Its crystal system is orthorhombic. The value obtained for the energy relative to the lowest polymorph listed for this composition is 124 kJ/mol of formula units. As for the total energy: -22.6 eV for the cell shown.


Which formula does entry 10 have? Be3TeH